(1)
A plane-wave DFT calculation with GGA-PBEsol was carried out for a geometry-optimized Li3InSe structure.

- ΔE_f (raw): -0.5186 eV/atom
- Magnetic moment: 0.00 μB per cell

abc: 4.7966 4.7966 4.7966
angles: 90.00 90.00 90.00
Closest atoms and distances in Å follow each position.
Fractional positions:
Li1 0.0000 0.0000 0.5000  2 Se 2.40
Li2 0.0000 0.5000 0.0000  2 Se 2.40
Li3 0.5000 0.0000 0.0000  2 Se 2.40
In1 0.5000 0.5000 0.5000  12 Li 3.39
Se1 0.0000 0.0000 0.0000  6 Li 2.40

(2)
A plane-wave DFT calculation with GGA-PBEsol was carried out for a geometry-optimized LiInSe2 structure.

- ΔE_f (raw): -0.7755 eV/atom
- Magnetic moment: 0.00 μB per cell

abc: 6.7928 6.7928 6.7928
angles: 131.57 131.57 70.90
Closest atoms and distances in Å follow each position.
Fractional positions:
Li1 0.3750 0.6250 0.7500  6 Se 2.79-2.88
Li2 0.6250 0.3750 0.2500  6 Se 2.79-2.88
In1 0.1250 0.8750 0.2500  6 Se 2.66-2.79
In2 0.8750 0.1250 0.7500  6 Se 2.66-2.79
Se1 0.1150 0.3650 0.7500  3 In 2.66-2.79, 3 Li 2.79-2.88
Se2 0.3650 0.1150 0.2500  3 In 2.66-2.79, 3 Li 2.79-2.88
Se3 0.6350 0.8850 0.7500  3 In 2.66-2.79, 3 Li 2.79-2.88
Se4 0.8850 0.6350 0.2500  3 In 2.66-2.79, 3 Li 2.79-2.88

(3)
A plane-wave DFT calculation with GGA-PBEsol was carried out for a geometry-optimized Li2In2SiSe6 structure.

- ΔE_f (raw): -0.7336 eV/atom
- Magnetic moment: 0.00 μB per cell

abc: 7.3025 7.3025 12.5694
angles: 107.23 107.23 60.35
Closest atoms and distances in Å follow each position.
Fractional positions:
Li1 0.1033 0.8967 0.5000  4 Se 2.61-2.63
Li2 0.5220 0.9007 0.1651  4 Se 2.62-2.73
Li3 0.8967 0.1033 0.0000  4 Se 2.61-2.63
Li4 0.9007 0.5220 0.6651  4 Se 2.62-2.73
In1 0.2730 0.4139 0.0100  4 Se 2.61-2.63
In2 0.4139 0.2730 0.5100  4 Se 2.61-2.63
In3 0.4255 0.6192 0.8133  4 Se 2.60-2.63
In4 0.6192 0.4255 0.3133  4 Se 2.60-2.63
Si1 0.0446 0.5069 0.2526  4 Se 2.26-2.28
Si2 0.5069 0.0446 0.7526  4 Se 2.26-2.28
Se1 0.1599 0.6312 0.6215  2 In 2.60-2.61, 2 Li 2.62
Se2 0.1795 0.2293 0.8014  1 Si 2.26
Se3 0.2159 0.7157 0.3016  1 Si 2.27
Se4 0.2293 0.1795 0.3014  1 Si 2.26
Se5 0.2714 0.7659 0.9992  2 In 2.60-2.61, 2 Li 2.62-2.64
Se6 0.4655 0.9277 0.5626  1 Si 2.27
Se7 0.6312 0.1599 0.1215  2 In 2.60-2.61, 2 Li 2.62
Se8 0.7105 0.7558 0.8403  1 Si 2.28
Se9 0.7157 0.2159 0.8016  1 Si 2.27
Se10 0.7558 0.7105 0.3403  1 Si 2.28
Se11 0.7659 0.2714 0.4992  2 In 2.60-2.61, 2 Li 2.62-2.64
Se12 0.9277 0.4655 0.0626  1 Si 2.27